A plane-wave DFT calculation with PBE was carried out for an optimized crystal structure of BeCoCu.

Computed properties:
The relative energy among the computed polymorphs comes out at 0 meV per atom. Its density of states at the Fermi level is 0.6799 states/eV/atom. For the calculated formation energy, the calculation gives -0.0861 eV/atom.

```
data_BeCoCu
_cell_length_a 9.261
_cell_length_b 2.575
_cell_length_c 5.197
_cell_angle_alpha 90.00
_cell_angle_beta 105.62
_cell_angle_gamma 90.00
_space_group_name_H-M_alt 'C 1 2/m 1'
_space_group_IT_number 12
_space_group_name_Hall '-C 2y'
loop_
_atom_site_label
_atom_site_type_symbol
_atom_site_fract_x
_atom_site_fract_y
_atom_site_fract_z
_atom_site_occupancy
Be1 Be 0.003 0.000 0.277 1
Co1 Co 0.158 0.500 0.574 1
Cu1 Cu 0.148 0.500 0.069 1
```